[1]
Here is a relaxed AgBr2Cl crystal from the Alexandria database. Energies are from PBE.

Unit cell a=12.040 b=12.040 c=12.040 alpha=15.75 beta=15.75 gamma=15.75
Last column: magnetic moment on the atom in μB.
Element x y z (fractional)
Ag1 0.000 0.000 0.000  0.00
Br1 0.070 0.070 0.070  -0.01
Br2 0.930 0.930 0.930  -0.01
Cl1 0.500 0.500 0.500  0.67

Summary:
D(E_F) in states/eV/f.u.: 2.92
Total moment in μB per cell: 0.819
Polymorph energy (0 for the lowest one) in kJ/mol of atoms: 43.9
Uncorrected formation energy in eV/atom: 0.27

***

[2]
Here is a relaxed Ag2Br6Cl crystal from the Alexandria database. Energies are from PBE.

Unit cell a=8.496 b=8.424 c=8.424 alpha=78.76 beta=86.40 gamma=86.40
Element x y z (fractional)
Ag1 0.829 0.780 0.635
Ag2 0.171 0.220 0.365
Ag3 0.671 0.365 0.220
Ag4 0.329 0.635 0.780
Br1 0.789 0.949 0.319
Br2 0.427 0.388 0.405
Br3 0.696 0.036 0.703
Br4 0.196 0.703 0.036
Br5 0.304 0.964 0.297
Br6 0.211 0.051 0.681
Br7 0.073 0.595 0.612
Br8 0.711 0.681 0.051
Br9 0.289 0.319 0.949
Br10 0.927 0.405 0.388
Br11 0.804 0.297 0.964
Br12 0.573 0.612 0.595
Cl1 0.750 0.973 0.027
Cl2 0.250 0.027 0.973

Summary:
D(E_F) in states/eV/f.u.: 2.45
Total moment in μB per cell: 0.000
Polymorph energy (0 for the lowest one) in kJ/mol of atoms: 15.8
Uncorrected formation energy in eV/atom: 0.03

***

[3]
Here is a relaxed AgBrCl2 crystal from the Alexandria database. Energies are from PBE.

Unit cell a=3.822 b=7.694 c=3.837 alpha=90.00 beta=90.00 gamma=90.00
Element x y z (fractional)
Cl1 0.000 0.000 0.000
Cl2 0.500 0.500 0.000
Br1 0.000 0.500 0.500
Ag1 0.500 0.000 0.500

Summary:
D(E_F) in states/eV/f.u.: 1.48
Total moment in μB per cell: 0.000
Polymorph energy (0 for the lowest one) in kJ/mol of atoms: 18.4
Uncorrected formation energy in eV/atom: -0.03

***

[4]
Here is a relaxed Ag12Br5Cl3 crystal from the Alexandria database. Energies are from PBE.

Unit cell a=14.241 b=14.241 c=14.241 alpha=109.47 beta=109.47 gamma=109.47
Element x y z (fractional)
Ag1 0.343 0.926 0.775
Ag2 0.568 0.843 0.417
Ag3 0.151 0.083 0.926
Ag4 0.275 0.432 0.849
Ag5 0.657 0.583 0.932
Ag6 0.583 0.926 0.651
Ag7 0.417 0.343 0.568
Ag8 0.932 0.083 0.657
Ag9 0.651 0.225 0.568
Ag10 0.343 0.417 0.068
Ag11 0.426 0.651 0.083
Ag12 0.275 0.843 0.926
Ag13 0.843 0.568 0.917
Ag14 0.849 0.917 0.074
Ag15 0.574 0.349 0.917
Ag16 0.083 0.932 0.157
Ag17 0.417 0.074 0.349
Ag18 0.151 0.068 0.725
Ag19 0.068 0.917 0.343
Ag20 0.157 0.725 0.574
Ag21 0.932 0.849 0.775
Ag22 0.583 0.657 0.432
Ag23 0.651 0.426 0.583
Ag24 0.725 0.157 0.074
Ag25 0.574 0.225 0.157
Ag26 0.432 0.275 0.349
Ag27 0.225 0.574 0.657
Ag28 0.068 0.151 0.225
Ag29 0.657 0.074 0.225
Ag30 0.926 0.583 0.151
Ag31 0.926 0.343 0.275
Ag32 0.775 0.349 0.932
Ag33 0.225 0.651 0.068
Ag34 0.843 0.275 0.426
Ag35 0.917 0.849 0.574
Ag36 0.349 0.574 0.417
Ag37 0.432 0.157 0.583
Ag38 0.725 0.568 0.151
Ag39 0.917 0.068 0.843
Ag40 0.568 0.725 0.651
Ag41 0.074 0.657 0.725
Ag42 0.074 0.417 0.849
Ag43 0.775 0.426 0.343
Ag44 0.349 0.775 0.432
Ag45 0.083 0.151 0.426
Ag46 0.426 0.775 0.843
Ag47 0.849 0.932 0.275
Ag48 0.157 0.432 0.083
Br1 0.750 0.625 0.375
Br2 0.000 0.500 0.500
Br3 0.625 0.750 0.875
Br4 0.500 0.500 0.500
Br5 0.500 0.000 0.500
Br6 0.875 0.250 0.625
Br7 0.000 0.000 0.000
Br8 0.625 0.875 0.250
Br9 0.250 0.375 0.625
Br10 0.000 0.000 0.500
Br11 0.125 0.375 0.250
Br12 0.375 0.250 0.125
Br13 0.750 0.125 0.875
Br14 0.500 0.500 0.000
Br15 0.375 0.125 0.750
Br16 0.875 0.625 0.750
Br17 0.000 0.500 0.000
Br18 0.250 0.875 0.125
Br19 0.125 0.750 0.375
Br20 0.500 0.000 0.000
Cl1 0.875 0.125 0.250
Cl2 0.625 0.250 0.375
Cl3 0.250 0.125 0.375
Cl4 0.625 0.375 0.750
Cl5 0.750 0.375 0.125
Cl6 0.875 0.750 0.125
Cl7 0.125 0.875 0.750
Cl8 0.750 0.875 0.625
Cl9 0.375 0.750 0.625
Cl10 0.375 0.625 0.250
Cl11 0.250 0.625 0.875
Cl12 0.125 0.250 0.875

Summary:
D(E_F) in states/eV/f.u.: 2.57
Total moment in μB per cell: 0.000
Uncorrected formation energy in eV/atom: -0.04

***

[5]
Here is a relaxed AgBr2Cl crystal from the Alexandria database. Energies are from PBE.

Unit cell a=5.284 b=5.284 c=3.394 alpha=90.00 beta=90.00 gamma=90.00
Last column: magnetic moment on the atom in μB.
Element x y z (fractional)
Cl1 0.500 0.000 0.500  0.21
Br1 0.000 0.000 0.000  0.15
Br2 0.500 0.500 0.000  0.15
Ag1 0.000 0.500 0.500  0.01

Summary:
D(E_F) in states/eV/f.u.: 4.90
Total moment in μB per cell: 0.639
Polymorph energy (0 for the lowest one) in kJ/mol of atoms: 49.7
Uncorrected formation energy in eV/atom: 0.33

***

[6]
Here is a relaxed AgBr2Cl2 crystal from the Alexandria database. Energies are from PBE.

Unit cell a=6.628 b=6.628 c=7.961 alpha=90.00 beta=90.00 gamma=90.00
Element x y z (fractional)
Br1 0.876 0.376 0.500
Br2 0.376 0.124 0.500
Br3 0.624 0.876 0.500
Br4 0.124 0.624 0.500
Ag1 0.000 0.000 0.000
Ag2 0.500 0.500 0.000
Cl1 0.174 0.326 0.000
Cl2 0.674 0.174 0.000
Cl3 0.326 0.826 0.000
Cl4 0.826 0.674 0.000

Summary:
D(E_F) in states/eV/f.u.: 0.02
Total moment in μB per cell: 0.000
Polymorph energy (0 for the lowest one) in kJ/mol of atoms: 0.0
Uncorrected formation energy in eV/atom: -0.12

***

- Among the records above, which one has the highest uncorrected formation energy?
  number 5

***

- The highest D(E_F) belongs to which entry?
  number 5